CdCu2Au5 PBE-GGA relaxed; final energy = -51.2 eV for the cell shown; crystal system = tetragonal; ΔE_f = -0.0147 eV per atom; SG = I4/mcm
1.0
-6.2574 -3.2094 0.0803
2.5115 -5.0031 -4.2571
3.4663 1.1112 6.5483
Au Cu Cd
10 4 2
Direct
0.9973 0.4973 0.6938
0.1965 0.9973 0.6938
0.0027 0.5027 0.3062
0.5000 0.5000 0.0000
0.5027 0.3035 0.3062
0.4973 0.6965 0.6938
0.0000 0.0000 0.0000
0.8035 0.0027 0.3062
0.3035 0.8035 0.3062
0.6965 0.1965 0.6938
0.6426 0.1426 0.0000
0.8574 0.6426 0.0000
0.1426 0.3574 0.0000
0.3574 0.8574 0.0000
0.2500 0.2500 0.5000
0.7500 0.7500 0.5000